Below is a relaxed Pm3Tc3Ge8 crystal, with properties calculated at the GGA-PBE level.

a = 8.3151 Å, b = 8.3151 Å, c = 8.3151 Å
α = 150.05°, β = 103.13°, γ = 84.63°
With the nearest neighbours (Å) after each atom.
Positions (direct):
Pm: 0.0000 0.0000 0.0000  12 Ge 3.25-3.39, 4 Tc 3.51
Pm: 0.3262 0.3262 0.0000  4 Tc 3.03-3.20, 8 Ge 3.08-3.20
Pm: 0.6738 0.6738 0.0000  4 Tc 3.03-3.20, 8 Ge 3.08-3.20
Tc: 0.2690 0.5000 0.7690  6 Ge 2.52-2.60
Tc: 0.5000 0.0000 0.5000  4 Ge 2.55
Tc: 0.7310 0.5000 0.2310  6 Ge 2.52-2.60
Ge: 0.0391 0.6665 0.3726  1 Tc 2.52, 2 Ge 2.63-2.77
Ge: 0.1793 0.8826 0.2968  3 Tc 2.55-2.60, 3 Ge 2.77-2.84
Ge: 0.2939 0.6665 0.6274  1 Tc 2.52, 2 Ge 2.63-2.77
Ge: 0.4142 0.1174 0.2968  3 Tc 2.55-2.60, 3 Ge 2.77-2.84
Ge: 0.5858 0.8826 0.7032  3 Tc 2.55-2.60, 3 Ge 2.77-2.84
Ge: 0.7061 0.3335 0.3726  1 Tc 2.52, 2 Ge 2.63-2.77
Ge: 0.8207 0.1174 0.7032  3 Tc 2.55-2.60, 3 Ge 2.77-2.84
Ge: 0.9609 0.3335 0.6274  1 Tc 2.52, 2 Ge 2.63-2.77

Density = 7.96 Mg/m³
Energy of formation = -0.371 eV/atom
E_tot = -6.248 eV per atom
Total magnetic moment = 0.000 μB per atom

=====

Below is a relaxed Co2SbBr crystal, with properties calculated at the GGA-PBE level.

a = 4.5343 Å, b = 4.7928 Å, c = 7.6466 Å
α = 90.00°, β = 90.00°, γ = 90.00°
With the nearest neighbours (Å) after each atom.
Positions (direct):
Co: 0.0000 0.0000 0.0000  4 Co 2.48-2.60, 1 Sb 2.54, 2 Br 2.71
Co: 0.0000 0.5000 0.1308  4 Co 2.48-2.60, 1 Br 2.49, 2 Sb 2.74
Co: 0.5000 0.0000 0.1308  4 Co 2.48-2.60, 1 Br 2.49, 2 Sb 2.74
Co: 0.5000 0.5000 0.0000  4 Co 2.48-2.60, 1 Sb 2.54, 2 Br 2.71
Sb: 0.0000 0.0000 0.3318  3 Co 2.54-2.74
Sb: 0.5000 0.5000 0.3318  3 Co 2.54-2.74
Br: 0.0000 0.5000 0.8058  3 Co 2.49-2.71
Br: 0.5000 0.0000 0.8058  3 Co 2.49-2.71

Density = 6.39 Mg/m³
Relative energy among the computed polymorphs = 79 meV/atom
Energy relative to the elements, uncorrected = 194 meV per atom
E_tot = -4.808 eV per atom
Total magnetic moment = 0.909 μB per atom

=====

Below is a relaxed LaSbCl2 crystal, with properties calculated at the GGA-PBE level.

a = 4.5928 Å, b = 4.8760 Å, c = 5.4127 Å
α = 90.00°, β = 111.86°, γ = 90.00°
With the nearest neighbours (Å) after each atom.
Positions (direct):
La: 0.0000 0.0000 0.0000  4 Cl 2.91-2.99
Sb: 0.5811 0.5000 0.1538  1 Cl 2.57
Cl: 0.2556 0.0000 0.5789  2 La 2.91-2.93
Cl: 0.7724 0.5000 0.6643  1 Sb 2.57

Density = 4.89 Mg/m³
Relative energy among the computed polymorphs = 0 meV/atom
Energy relative to the elements, uncorrected = -1434 meV per atom
E_tot = -4.620 eV per atom
Total magnetic moment = 0.000 μB per atom

=====

Below is a relaxed CuAsCl2 crystal, with properties calculated at the GGA-PBE level.

a = 4.9216 Å, b = 3.2887 Å, c = 5.3280 Å
α = 90.00°, β = 100.78°, γ = 90.00°
With the nearest neighbours (Å) after each atom.
Positions (direct):
Cu: 0.0000 0.0000 0.0000  3 Cl 2.31-2.50, 2 As 2.46
As: 0.6943 0.5000 0.7454  1 Cl 2.38, 2 Cu 2.46
Cl: 0.0119 0.0000 0.4357  1 Cu 2.31
Cl: 0.3894 0.5000 0.0426  1 As 2.38, 2 Cu 2.50

Density = 4.10 Mg/m³
Relative energy among the computed polymorphs = 161 meV/atom
Energy relative to the elements, uncorrected = -190 meV per atom
E_tot = -3.300 eV per atom
Total magnetic moment = 0.000 μB per atom

=====

Below is a relaxed BeCrRuS2 crystal, with properties calculated at the GGA-PBE level.

a = 4.1450 Å, b = 4.1450 Å, c = 4.0169 Å
α = 90.00°, β = 90.00°, γ = 90.00°
With the nearest neighbours (Å) after each atom.
Positions (direct):
Be: 0.0000 0.0000 0.0000  2 Cr 2.01, 4 S 2.07
Cr: 0.0000 0.0000 0.5000  2 Be 2.01
Ru: 0.5000 0.5000 0.5000  8 S 2.89, 4 Cr 2.93
S: 0.0000 0.5000 0.0000  2 Be 2.07
S: 0.5000 0.0000 0.0000  2 Be 2.07

Density = 5.44 Mg/m³
Energy relative to the elements, uncorrected = 825 meV per atom
E_tot = -5.351 eV per atom
Total magnetic moment = 0.497 μB per atom

=====

Below is a relaxed ScTcRu4 crystal, with properties calculated at the GGA-PBE level.

a = 5.1001 Å, b = 5.1001 Å, c = 5.1001 Å
α = 60.00°, β = 60.00°, γ = 60.00°
With the nearest neighbours (Å) after each atom.
Positions (direct):
Sc: 0.0000 0.0000 0.0000  12 Ru 2.99, 4 Tc 3.12
Tc: 0.7500 0.7500 0.7500  12 Ru 2.99, 4 Sc 3.12
Ru: 0.3749 0.3749 0.3749  6 Ru 2.55
Ru: 0.3749 0.3749 0.8753  6 Ru 2.55
Ru: 0.3749 0.8753 0.3749  6 Ru 2.55
Ru: 0.8753 0.3749 0.3749  6 Ru 2.55

Density = 9.69 Mg/m³
Energy of formation = 0.111 eV/atom
E_tot = -8.855 eV per atom
Total magnetic moment = 0.000 μB per atom

=====

Below is a relaxed Na2GaTeO4 crystal, with properties calculated at the GGA-PBE level.

a = 6.0268 Å, b = 6.0268 Å, c = 6.4475 Å
α = 90.00°, β = 90.00°, γ = 90.00°
With the nearest neighbours (Å) after each atom.
Positions (direct):
Na: 0.0000 0.0000 0.0000  4 O 2.39
Na: 0.0000 0.5000 0.2500  4 O 2.51
Na: 0.5000 0.0000 0.7500  4 O 2.51
Na: 0.5000 0.5000 0.5000  4 O 2.39
Ga: 0.0000 0.5000 0.7500  4 O 1.89
Ga: 0.5000 0.0000 0.2500  4 O 1.89
Te: 0.0000 0.0000 0.5000  4 O 2.16
Te: 0.5000 0.5000 0.0000  4 O 2.16
O: 0.1573 0.3136 0.5664  1 Ga 1.89
O: 0.1864 0.6573 0.9336  1 Ga 1.89
O: 0.3136 0.8427 0.4336  1 Ga 1.89
O: 0.3427 0.1864 0.0664  1 Ga 1.89
O: 0.6573 0.8136 0.0664  1 Ga 1.89
O: 0.6864 0.1573 0.4336  1 Ga 1.89
O: 0.8136 0.3427 0.9336  1 Ga 1.89
O: 0.8427 0.6864 0.5664  1 Ga 1.89

Density = 4.36 Mg/m³
Energy relative to the elements, uncorrected = -1363 meV per atom
E_tot = -4.943 eV per atom
Total magnetic moment = 0.125 μB per atom

=====

Below is a relaxed CdMo4Cl2 crystal, with properties calculated at the GGA-PBE level.

a = 5.1866 Å, b = 5.1866 Å, c = 13.1306 Å
α = 90.00°, β = 90.00°, γ = 90.00°
With the nearest neighbours (Å) after each atom.
Positions (direct):
Cd: 0.0000 0.0000 0.0000  6 Mo 2.59-2.72
Cd: 0.5000 0.5000 0.5000  6 Mo 2.59-2.72
Mo: 0.0000 0.0000 0.2074  1 Cl 2.41
Mo: 0.0000 0.0000 0.7926  1 Cl 2.41
Mo: 0.0000 0.5000 0.0000  2 Cd 2.59
Mo: 0.0000 0.5000 0.5000  2 Cd 2.59
Mo: 0.5000 0.0000 0.0000  2 Cd 2.59
Mo: 0.5000 0.0000 0.5000  2 Cd 2.59
Mo: 0.5000 0.5000 0.2926  1 Cl 2.41
Mo: 0.5000 0.5000 0.7074  1 Cl 2.41
Cl: 0.0000 0.0000 0.3907  1 Mo 2.41
Cl: 0.0000 0.0000 0.6093  1 Mo 2.41
Cl: 0.5000 0.5000 0.1093  1 Mo 2.41
Cl: 0.5000 0.5000 0.8907  1 Mo 2.41

Density = 5.33 Mg/m³
Energy relative to the elements, uncorrected = 1930 meV per atom
E_tot = -4.917 eV per atom
Total magnetic moment = 0.447 μB per atom

=====

Below is a relaxed NaTi3B crystal, with properties calculated at the GGA-PBE level.

a = 4.4384 Å, b = 4.4384 Å, c = 4.4384 Å
α = 90.00°, β = 90.00°, γ = 90.00°
With the nearest neighbours (Å) after each atom.
Positions (direct):
Na: 0.0000 0.0000 0.0000  12 Ti 3.14
Ti: 0.0000 0.5000 0.5000  2 B 2.22
Ti: 0.5000 0.0000 0.5000  2 B 2.22
Ti: 0.5000 0.5000 0.0000  2 B 2.22
B: 0.5000 0.5000 0.5000  6 Ti 2.22

Density = 3.37 Mg/m³
Energy of formation = 0.320 eV/atom
Relative energy among the computed polymorphs = 0 meV/atom
E_tot = -6.017 eV per atom
Total magnetic moment = 0.334 μB per atom

=====

Below is a relaxed CaCu3Tc crystal, with properties calculated at the GGA-PBE level.

a = 4.7019 Å, b = 4.7019 Å, c = 4.7019 Å
α = 90.00°, β = 90.00°, γ = 90.00°
With the nearest neighbours (Å) after each atom.
Positions (direct):
Ca: 0.0000 0.0000 0.0000  12 Cu 3.32
Cu: 0.0000 0.5000 0.5000  2 Tc 2.35
Cu: 0.5000 0.0000 0.5000  2 Tc 2.35
Cu: 0.5000 0.5000 0.0000  2 Tc 2.35
Tc: 0.5000 0.5000 0.5000  6 Cu 2.35

Density = 5.25 Mg/m³
Energy of formation = 0.681 eV/atom
Relative energy among the computed polymorphs = 0 meV/atom
E_tot = -4.251 eV per atom
Total magnetic moment = 0.246 μB per atom

=====

Below is a relaxed TcPS crystal, with properties calculated at the GGA-PBE level.

a = 3.1025 Å, b = 3.1025 Å, c = 20.5080 Å
α = 90.00°, β = 90.00°, γ = 120.00°
With the nearest neighbours (Å) after each atom.
Positions (direct):
Tc: 0.0000 0.0000 0.0000  3 S 2.36, 3 P 2.45
Tc: 0.3333 0.6667 0.6667  3 S 2.36, 3 P 2.45
Tc: 0.6667 0.3333 0.3333  3 S 2.36, 3 P 2.45
P: 0.0000 0.0000 0.2521  3 Tc 2.45
P: 0.3333 0.6667 0.9188  3 Tc 2.45
P: 0.6667 0.3333 0.5854  3 Tc 2.45
S: 0.0000 0.0000 0.4084  3 Tc 2.36
S: 0.3333 0.6667 0.0751  3 Tc 2.36
S: 0.6667 0.3333 0.7417  3 Tc 2.36

Density = 4.69 Mg/m³
Relative energy among the computed polymorphs = 139 meV/atom
Energy relative to the elements, uncorrected = -390 meV per atom
E_tot = -7.024 eV per atom
Total magnetic moment = 0.000 μB per atom

=====

Below is a relaxed Er2CdGeO6 crystal, with properties calculated at the GGA-PBE level.

a = 5.2474 Å, b = 5.2474 Å, c = 5.1423 Å
α = 90.00°, β = 90.00°, γ = 90.00°
With the nearest neighbours (Å) after each atom.
Positions (direct):
Er: 0.0000 0.5000 0.0000  4 O 2.23
Er: 0.5000 0.0000 0.0000  4 O 2.23
Cd: 0.0000 0.0000 0.5475  5 O 2.10-2.26
Ge: 0.5000 0.5000 0.6234  5 O 1.80-1.87
O: 0.0000 0.0000 0.1398  1 Cd 2.10
O: 0.2665 0.2665 0.7613  1 Ge 1.87
O: 0.2665 0.7335 0.7613  1 Ge 1.87
O: 0.5000 0.5000 0.2739  1 Ge 1.80
O: 0.7335 0.2665 0.7613  1 Ge 1.87
O: 0.7335 0.7335 0.7613  1 Ge 1.87

Density = 7.22 Mg/m³
Energy relative to the elements, uncorrected = -2315 meV per atom
E_tot = -6.755 eV per atom
Total magnetic moment = 0.000 μB per atom

=====

Below is a relaxed InRhSe2 crystal, with properties calculated at the GGA-PBE level.

a = 3.7264 Å, b = 4.2786 Å, c = 11.9000 Å
α = 90.00°, β = 90.00°, γ = 90.00°
With the nearest neighbours (Å) after each atom.
Positions (direct):
In: 0.0000 0.0000 0.0000  4 Se 2.77, 4 Rh 2.84
In: 0.5000 0.5000 0.5000  4 Se 2.77, 4 Rh 2.84
Rh: 0.0000 0.0000 0.5000  4 Se 2.56, 4 In 2.84
Rh: 0.5000 0.5000 0.0000  4 Se 2.56, 4 In 2.84
Se: 0.0000 0.5000 0.1475  2 Rh 2.56, 2 In 2.77
Se: 0.0000 0.5000 0.8525  2 Rh 2.56, 2 In 2.77
Se: 0.5000 0.0000 0.3525  2 Rh 2.56, 2 In 2.77
Se: 0.5000 0.0000 0.6475  2 Rh 2.56, 2 In 2.77

Density = 6.58 Mg/m³
Energy relative to the elements, uncorrected = -300 meV per atom
E_tot = -4.565 eV per atom
Total magnetic moment = 0.000 μB per atom

=====

Below is a relaxed FeOs2Pb crystal, with properties calculated at the GGA-PBE level.

a = 3.0365 Å, b = 3.0365 Å, c = 7.0641 Å
α = 90.00°, β = 90.00°, γ = 90.00°
With the nearest neighbours (Å) after each atom.
Positions (direct):
Fe: 0.0000 0.0000 0.0000  8 Os 2.56
Os: 0.5000 0.5000 0.1962  4 Fe 2.56, 1 Os 2.77
Os: 0.5000 0.5000 0.8038  4 Fe 2.56, 1 Os 2.77
Pb: 0.0000 0.0000 0.5000  8 Os 3.04, 4 Pb 3.04

Density = 16.41 Mg/m³
Energy of formation = 0.731 eV/atom
E_tot = -7.926 eV per atom
Total magnetic moment = 0.593 μB per atom

=====

Below is a relaxed BaPbS2N crystal, with properties calculated at the GGA-PBE level.

a = 5.7823 Å, b = 5.7823 Å, c = 4.7157 Å
α = 90.00°, β = 90.00°, γ = 90.00°
With the nearest neighbours (Å) after each atom.
Positions (direct):
Ba: 0.0000 0.0000 0.0000  2 N 2.36
Pb: 0.5000 0.5000 0.5000  8 S 3.73, 4 N 4.09
S: 0.0000 0.5000 0.0000  2 Ba 2.89
S: 0.5000 0.0000 0.0000  2 Ba 2.89
N: 0.0000 0.0000 0.5000  2 Ba 2.36

Density = 4.45 Mg/m³
Relative energy among the computed polymorphs = 799 meV/atom
Energy relative to the elements, uncorrected = 652 meV per atom
E_tot = -3.790 eV per atom
Total magnetic moment = 0.321 μB per atom

=====

Below is a relaxed Sm4GePtBr2 crystal, with properties calculated at the GGA-PBE level.

a = 7.5809 Å, b = 4.1482 Å, c = 7.6413 Å
α = 90.00°, β = 107.78°, γ = 90.00°
With the nearest neighbours (Å) after each atom.
Positions (direct):
Sm: 0.2222 0.0000 0.1999  2 Pt 2.81, 1 Ge 2.96
Sm: 0.2599 0.5000 0.7869  2 Ge 2.91, 1 Pt 2.91, 3 Br 3.22-3.25
Sm: 0.7402 0.5000 0.2131  2 Ge 2.91, 1 Pt 2.91, 3 Br 3.22-3.25
Sm: 0.7778 0.0000 0.8001  2 Pt 2.81, 1 Ge 2.96
Ge: 0.5000 0.0000 0.0000  6 Sm 2.91-2.96
Pt: 0.0000 0.5000 0.0000  6 Sm 2.81-2.91
Br: 0.0000 0.0000 0.5000  6 Sm 3.22-3.23
Br: 0.5000 0.5000 0.5000  6 Sm 3.25-3.32

Density = 7.47 Mg/m³
Energy relative to the elements, uncorrected = -1147 meV per atom
E_tot = -5.257 eV per atom
Total magnetic moment = 0.000 μB per atom

=====

Below is a relaxed La3FeRh crystal, with properties calculated at the GGA-PBE level.

a = 5.1292 Å, b = 5.1292 Å, c = 5.1292 Å
α = 90.00°, β = 90.00°, γ = 90.00°
With the nearest neighbours (Å) after each atom.
Positions (direct):
La: 0.0000 0.0000 0.5000  2 Fe 2.56
La: 0.0000 0.5000 0.0000  2 Fe 2.56
La: 0.5000 0.0000 0.0000  2 Fe 2.56
Fe: 0.0000 0.0000 0.0000  6 La 2.56
Rh: 0.5000 0.5000 0.5000  12 La 3.63

Density = 7.08 Mg/m³
Energy of formation = 0.050 eV/atom
Relative energy among the computed polymorphs = 0 meV/atom
E_tot = -6.069 eV per atom
Total magnetic moment = 0.000 μB per atom

=====

Below is a relaxed Ge2RhW crystal, with properties calculated at the GGA-PBE level.

a = 2.9030 Å, b = 2.9030 Å, c = 27.1817 Å
α = 90.00°, β = 90.00°, γ = 120.00°
With the nearest neighbours (Å) after each atom.
Positions (direct):
Ge: 0.0000 0.0000 0.0954  3 Rh 2.56, 1 W 2.59
Ge: 0.0000 0.0000 0.9046  3 Rh 2.56, 1 W 2.59
Ge: 0.3333 0.6667 0.5712  3 Rh 2.56, 1 W 2.59
Ge: 0.3333 0.6667 0.7621  3 Rh 2.56, 1 W 2.59
Ge: 0.6667 0.3333 0.2379  3 Rh 2.56, 1 W 2.59
Ge: 0.6667 0.3333 0.4288  3 Rh 2.56, 1 W 2.59
Rh: 0.0000 0.0000 0.5000  6 Ge 2.56
Rh: 0.3333 0.6667 0.1667  6 Ge 2.56
Rh: 0.6667 0.3333 0.8333  6 Ge 2.56
W: 0.0000 0.0000 0.0000  2 Ge 2.59, 6 W 2.90
W: 0.3333 0.6667 0.6667  2 Ge 2.59, 6 W 2.90
W: 0.6667 0.3333 0.3333  2 Ge 2.59, 6 W 2.90

Density = 10.85 Mg/m³
Energy of formation = 0.177 eV/atom
Relative energy among the computed polymorphs = 137 meV/atom
E_tot = -7.208 eV per atom
Total magnetic moment = 0.000 μB per atom

=====

Below is a relaxed TbEr2ThBi5 crystal, with properties calculated at the GGA-PBE level.

a = 5.7196 Å, b = 5.7196 Å, c = 11.9518 Å
α = 90.00°, β = 90.00°, γ = 90.00°
With the nearest neighbours (Å) after each atom.
Positions (direct):
Tb: 0.0000 0.0000 0.0000  2 Bi 2.89
Er: 0.5000 0.5000 0.2655  1 Bi 3.17
Er: 0.5000 0.5000 0.7345  1 Bi 3.17
Th: 0.0000 0.0000 0.5000  6 Bi 2.86-3.08
Bi: 0.0000 0.0000 0.2420  1 Tb 2.89, 1 Th 3.08
Bi: 0.0000 0.0000 0.7580  1 Tb 2.89, 1 Th 3.08
Bi: 0.0000 0.5000 0.5000  2 Th 2.86
Bi: 0.5000 0.0000 0.5000  2 Th 2.86
Bi: 0.5000 0.5000 0.0000  2 Er 3.17

Density = 7.52 Mg/m³
Energy of formation = 0.265 eV/atom
E_tot = -4.244 eV per atom
Total magnetic moment = 0.000 μB per atom

=====

Below is a relaxed Cs2UGeSe5 crystal, with properties calculated at the GGA-PBE level.

a = 10.5955 Å, b = 10.5955 Å, c = 15.1122 Å
α = 90.00°, β = 90.00°, γ = 156.00°
With the nearest neighbours (Å) after each atom.
Positions (direct):
Cs: 0.1252 0.8748 0.5000  6 Se 3.63-3.85
Cs: 0.1281 0.8719 0.8594  7 Se 3.64-4.05
Cs: 0.8719 0.1281 0.3594  7 Se 3.64-4.05
Cs: 0.8748 0.1252 0.0000  6 Se 3.63-3.85
U: 0.1953 0.8047 0.1970  3 Se 2.60-2.81
U: 0.8047 0.1953 0.6970  3 Se 2.60-2.81
Ge: 0.4360 0.5640 0.6006  4 Se 2.31-2.56
Ge: 0.5640 0.4360 0.1006  4 Se 2.31-2.56
Se: 0.0551 0.9449 0.1856  2 Ge 2.56
Se: 0.3078 0.6922 0.8120  2 U 2.81
Se: 0.3155 0.6845 0.5706  1 Ge 2.54
Se: 0.3198 0.6802 0.1786  1 U 2.60
Se: 0.4886 0.5114 0.4656  1 Ge 2.31
Se: 0.5114 0.4886 0.9656  1 Ge 2.31
Se: 0.6802 0.3198 0.6786  1 U 2.60
Se: 0.6845 0.3155 0.0706  1 Ge 2.54
Se: 0.6922 0.3078 0.3120  2 U 2.81
Se: 0.9449 0.0551 0.6856  2 Ge 2.56

Density = 4.67 Mg/m³
Energy relative to the elements, uncorrected = -955 meV per atom
E_tot = -4.848 eV per atom
Total magnetic moment = 0.137 μB per atom